[1]
Material: PrCdHg2
Method: DFT, PBE
State: relaxed

Results
- E (eV for the cell shown) = -7.437
- formation energy from the elements (meV/atom) = -285

Structure (CIF):
```
data_PrCdHg2
_space_group_name_H-M_alt 'P 4/m m m'
_space_group_IT_number 123
_space_group_name_Hall '-P 4 2'
_cell_length_a 3.7391
_cell_length_b 3.7391
_cell_length_c 7.3778
_cell_angle_alpha 90.00
_cell_angle_beta 90.00
_cell_angle_gamma 90.00
loop_
_atom_site_label
_atom_site_fract_x
_atom_site_fract_y
_atom_site_fract_z
Pr1 0.0000 0.0000 0.0000
Cd1 0.0000 0.0000 0.5000
Hg1 0.5000 0.5000 0.2680
```

[2]
Material: Pu2Th2ZnSi4
Method: DFT, PBE
State: relaxed

Results
- E (eV for the cell shown) = -135.400
- uncorrected formation energy (eV per formula unit) = -1.23

Structure (CIF):
```
data_Pu2Th2ZnSi4
_space_group_name_H-M_alt 'I 4/m m m'
_space_group_IT_number 139
_space_group_name_Hall '-I 4 2'
_cell_length_a 6.8772
_cell_length_b 6.8772
_cell_length_c 8.4511
_cell_angle_alpha 90.00
_cell_angle_beta 90.00
_cell_angle_gamma 90.00
loop_
_atom_site_label
_atom_site_fract_x
_atom_site_fract_y
_atom_site_fract_z
Pu1 0.0000 0.0000 0.1726
Th1 0.0000 0.5000 0.2500
Zn1 0.0000 0.0000 0.5000
Si1 0.2423 0.2423 0.5000
```

[3]
Material: YSiNi3
Method: DFT, PBE
State: relaxed

Results
- E (eV for the cell shown) = -21.955
- uncorrected formation energy (eV per formula unit) = 7.28

Structure (CIF):
```
data_YSiNi3
_space_group_name_H-M_alt 'P m -3 m'
_space_group_IT_number 221
_space_group_name_Hall '-P 4 2 3'
_cell_length_a 4.6760
_cell_length_b 4.6760
_cell_length_c 4.6760
_cell_angle_alpha 90.00
_cell_angle_beta 90.00
_cell_angle_gamma 90.00
loop_
_atom_site_label
_atom_site_fract_x
_atom_site_fract_y
_atom_site_fract_z
Y1 0.0000 0.0000 0.0000
Si1 0.5000 0.5000 0.5000
Ni1 0.0000 0.0000 0.5000
```